The following is a PBE+U calculation of a relaxed structure of Mn3Tl2CuF12, from the Alexandria database.

Computed properties:
For the density, the calculation gives 5.184 g/cm3. As for the density of states at the Fermi level: 3.781 states/eV/cell. The value obtained for the total magnetic moment is 0.3333 μB/atom. Its uncorrected energy is -4.939 eV/atom. The symmetry is R-3m, No. 166.

abc: 7.325 7.325 7.325
angles: 59.87 59.87 59.87
Each line ends with the local moment (μB).
Sites, in units of the cell vectors:
1 F 0.081 0.653 0.081  -0.01
2 F 0.314 0.919 0.314  -0.02
3 F 0.919 0.314 0.314  -0.02
4 F 0.686 0.686 0.081  -0.02
5 F 0.653 0.081 0.081  -0.01
6 F 0.919 0.919 0.347  -0.01
7 F 0.081 0.686 0.686  -0.02
8 F 0.314 0.314 0.919  -0.02
9 F 0.919 0.347 0.919  -0.01
10 F 0.347 0.919 0.919  -0.01
11 F 0.081 0.081 0.653  -0.01
12 F 0.686 0.081 0.686  -0.02
13 Mn 0.000 0.500 0.000  2.12
14 Mn 0.500 0.000 0.000  2.12
15 Mn 0.000 0.000 0.500  2.12
16 Tl 0.632 0.632 0.632  0.00
17 Tl 0.368 0.368 0.368  0.00
18 Cu 0.000 0.000 0.000  -0.36